--- A ---
A plane-wave DFT calculation with PBE with a Hubbard U was carried out for Na2YWO after structural relaxation.

The structure in POSCAR format:
```
Na2YWO
1.0
4.962 0.000 0.000
0.000 4.962 0.000
0.000 0.000 4.497
Na Y W O
2 1 1 1
direct
0.000 0.500 0.000 Na
0.500 0.000 0.000 Na
0.000 0.000 0.500 Y
0.500 0.500 0.500 W
0.000 0.000 0.000 O
```

Computed properties:
Space group ... P4/mmm
Volume ... 110.7 Å³ per cell
DOS(E_F) ... 1.102 states/eV/f.u.

---

--- B ---
A plane-wave DFT calculation with PBE with a Hubbard U was carried out for Na2YWO after structural relaxation.

The structure in POSCAR format:
```
Na2YWO
1.0
5.520 0.000 0.000
0.000 5.520 0.000
0.000 0.000 5.923
Na Y W O
2 1 1 1
direct
0.000 0.500 0.000 Na
0.500 0.000 0.000 Na
0.000 0.000 0.500 Y
0.000 0.000 0.000 W
0.500 0.500 0.500 O
```

Computed properties:
Space group ... P4/mmm
Volume ... 180.5 Å³ per cell
DOS(E_F) ... 4.193 states/eV/f.u.

---

Pick the most stable structure from those above. Pick: A